VASP calculation (PBE-GGA) on a relaxed ZrMn2Sb crystal.

Computed properties:
raw formation energy: 0.042 eV/atom

Cell: 3.4277 3.4277 6.0198 Å, 90.00 90.00 90.00°
Last column: nearest neighbours and their distance in Å.
Sites, in units of the cell vectors:
Mn (0.5000, 0.5000, 0.2385)  4 Mn 2.76, 1 Zr 2.78, 4 Sb 2.79
Mn (0.0000, 0.0000, 0.0175)  1 Sb 2.70, 4 Mn 2.76, 4 Zr 2.82
Zr (0.5000, 0.5000, 0.7774)  5 Mn 2.78-2.82, 4 Sb 3.06
Sb (0.0000, 0.0000, 0.4666)  5 Mn 2.70-2.79